[1]
First-principles (GGA-PBE) data for a relaxed structure of CaCuSe2, as listed in the Alexandria database.

## Properties
energy relative to the elements, uncorrected: -647.6 meV/atom

Cell lengths 4.015, 4.015, 7.071 Å; angles 90.00, 90.00, 121.05 degrees
Fractional positions:
Ca 0.000 0.000 0.000
Cu 0.000 0.000 0.500
Se 0.500 0.500 0.281
Se 0.500 0.500 0.719



[2]
First-principles (GGA-PBE) data for a relaxed structure of ZnAg2S, as listed in the Alexandria database.

## Properties
energy relative to the elements, uncorrected: 140.3 meV/atom

Cell lengths 4.630, 4.630, 4.630 Å; angles 60.00, 60.00, 60.00 degrees
Fractional positions:
Zn 0.000 0.000 0.000
Ag 0.250 0.250 0.250
Ag 0.750 0.750 0.750
S 0.500 0.500 0.500



[3]
First-principles (GGA-PBE) data for a relaxed structure of AcPm3Y2, as listed in the Alexandria database.

## Properties
energy of formation: 0.19 eV/atom
polymorph energy (0 for the lowest one): 0.158 eV per atom

Cell lengths 7.877, 7.877, 6.823 Å; angles 90.00, 90.00, 89.46 degrees
Fractional positions:
Ac 0.105 0.895 0.750
Ac 0.895 0.105 0.250
Pm 0.257 0.257 0.000
Pm 0.257 0.257 0.500
Pm 0.410 0.590 0.750
Pm 0.590 0.410 0.250
Pm 0.743 0.743 0.000
Pm 0.743 0.743 0.500
Y 0.091 0.591 0.250
Y 0.409 0.909 0.250
Y 0.591 0.091 0.750
Y 0.909 0.409 0.750



[4]
First-principles (GGA-PBE) data for a relaxed structure of Na2LiDyF6, as listed in the Alexandria database.

## Properties
energy relative to the elements, uncorrected: -3308.0 meV/atom

Cell lengths 5.565, 5.717, 9.865 Å; angles 90.00, 120.41, 90.00 degrees
Fractional positions:
Na 0.201 0.056 0.240
Na 0.201 0.444 0.740
Na 0.799 0.556 0.260
Na 0.799 0.944 0.760
Li 0.000 0.000 0.500
Li 0.000 0.500 0.000
Dy 0.500 0.000 0.000
Dy 0.500 0.500 0.500
F 0.132 0.214 0.937
F 0.132 0.286 0.437
F 0.209 0.705 0.921
F 0.209 0.795 0.421
F 0.402 0.066 0.758
F 0.402 0.434 0.258
F 0.598 0.566 0.742
F 0.598 0.934 0.242
F 0.791 0.205 0.579
F 0.791 0.295 0.079
F 0.868 0.714 0.563
F 0.868 0.786 0.063



[5]
First-principles (GGA-PBE) data for a relaxed structure of La3SmOs, as listed in the Alexandria database.

## Properties
energy of formation: -0.04 eV/atom
polymorph energy (0 for the lowest one): 0.049 eV per atom

Cell lengths 7.951, 6.754, 6.570 Å; angles 90.00, 90.00, 90.00 degrees
Fractional positions:
La 0.000 0.158 0.000
La 0.249 0.678 0.995
La 0.251 0.322 0.495
La 0.500 0.842 0.500
La 0.749 0.322 0.495
La 0.751 0.678 0.995
Sm 0.000 0.832 0.495
Sm 0.500 0.168 0.995
Os 0.000 0.494 0.243
Os 0.500 0.506 0.743



[6]
First-principles (GGA-PBE) data for a relaxed structure of ScZn2Ir, as listed in the Alexandria database.

## Properties
energy of formation: -0.26 eV/atom

Cell lengths 5.418, 5.418, 3.008 Å; angles 104.64, 104.64, 120.57 degrees
Fractional positions:
Sc 0.000 0.000 0.000
Zn 0.000 0.500 0.500
Zn 0.500 0.000 0.500
Ir 0.500 0.500 0.000



[7]
First-principles (GGA-PBE) data for a relaxed structure of Li2MnI5, as listed in the Alexandria database.

## Properties
polymorph energy (0 for the lowest one): 0.000 eV per atom
energy relative to the elements, uncorrected: -738.3 meV/atom

Cell lengths 7.403, 7.403, 6.926 Å; angles 117.78, 117.78, 78.07 degrees
Fractional positions:
Li 0.207 0.793 0.000
Li 0.793 0.207 0.000
Mn 0.802 0.802 0.206
I 0.078 0.514 0.133
I 0.083 0.083 0.377
I 0.510 0.510 0.881
I 0.514 0.078 0.133
I 0.829 0.829 0.633



[8]
First-principles (GGA-PBE) data for a relaxed structure of TlSiPt2, as listed in the Alexandria database.

## Properties
energy relative to the elements, uncorrected: -297.0 meV/atom

Cell lengths 7.724, 7.724, 7.724 Å; angles 158.77, 153.20, 34.44 degrees
Fractional positions:
Tl 0.000 0.000 0.000
Si 0.238 0.738 0.500
Pt 0.369 0.369 0.000
Pt 0.669 0.169 0.500



[9]
First-principles (GGA-PBE) data for a relaxed structure of NaMnP3, as listed in the Alexandria database.

## Properties
energy of formation: 0.20 eV/atom
polymorph energy (0 for the lowest one): 0.000 eV per atom

Cell lengths 4.507, 4.507, 4.507 Å; angles 90.00, 90.00, 90.00 degrees
Fractional positions:
Na 0.000 0.000 0.000
Mn 0.500 0.500 0.500
P 0.000 0.500 0.500
P 0.500 0.000 0.500
P 0.500 0.500 0.000



[10]
First-principles (GGA-PBE) data for a relaxed structure of NaLi4Zn, as listed in the Alexandria database.

## Properties
energy of formation: 0.09 eV/atom
polymorph energy (0 for the lowest one): 0.094 eV per atom

Cell lengths 5.580, 5.580, 5.580 Å; angles 60.00, 60.00, 60.00 degrees
Fractional positions:
Na 0.000 0.000 0.000
Li 0.376 0.376 0.376
Li 0.376 0.376 0.871
Li 0.376 0.871 0.376
Li 0.871 0.376 0.376
Zn 0.750 0.750 0.750



[11]
First-principles (GGA-PBE) data for a relaxed structure of K2InBiH, as listed in the Alexandria database.

## Properties
polymorph energy (0 for the lowest one): 0.000 eV per atom

Cell lengths 7.210, 5.729, 8.723 Å; angles 90.00, 107.64, 90.00 degrees
Fractional positions:
K 0.124 0.250 0.379
K 0.248 0.250 0.922
K 0.752 0.750 0.078
K 0.876 0.750 0.621
In 0.426 0.750 0.330
In 0.574 0.250 0.670
Bi 0.403 0.750 0.689
Bi 0.597 0.250 0.311
H 0.151 0.750 0.211
H 0.849 0.250 0.789



[12]
First-principles (GGA-PBE) data for a relaxed structure of PaAl2Co, as listed in the Alexandria database.

## Properties
energy of formation: 0.16 eV/atom

Cell lengths 9.985, 9.985, 9.985 Å; angles 16.74, 16.74, 16.74 degrees
Fractional positions:
Pa 0.000 0.000 0.000
Al 0.106 0.106 0.106
Al 0.894 0.894 0.894
Co 0.500 0.500 0.500



| no. | calculated density (g cm⁻³) |
| --- | --- |
| 1 | 4.4 |
| 2 | 7.4 |
| 3 | 6.6 |
| 4 | 4.0 |
| 5 | 7.1 |
| 6 | 9.3 |
| 7 | 3.9 |
| 8 | 13.8 |
| 9 | 3.1 |
| 10 | 1.6 |
| 11 | 3.9 |
| 12 | 7.9 |